SiTeO2 | GGA-PBE | relaxed

a b c (Å): 5.9659 5.9659 5.9659
angles (deg): 90.00 90.00 90.00
With the nearest neighbours (Å) after each atom.
Space group Fm-3m (No. 225)
Asymmetric unit:
Si 0.0000 0.0000 0.0000  8 O 2.58
Te 0.0000 0.0000 0.5000  8 O 2.58
O 0.2500 0.2500 0.2500  4 Te 2.58, 4 Si 2.58

Excess energy over the best structure of this formula in the dataset (kJ per mole of atoms): 174.01
Crystal system: cubic
Calculated total energy (eV/atom): -4.3423
E_form (uncorrected) (eV/atom): 0.28
Calculated density (g/cm³): 5.87
DOS at the Fermi energy (states/eV/atom): 0.62